ErHgPdAu after structural relaxation. Source: Alexandria, functional PBE-GGA.

a b c (Å): 4.849 4.849 4.849
angles (deg): 60.00 60.00 60.00
Fractional positions:
Er1 0.000 0.000 0.000
Hg1 0.500 0.500 0.500
Pd1 0.250 0.250 0.250
Au1 0.750 0.750 0.750

Computed properties:
density of states at the Fermi level: 1.849 states/eV per cell
final energy: -3.96 eV/atom
calculated formation energy: -626 meV per atom